First-principles (PBE) data for La4TeRuI2 after structural relaxation, as listed in Alexandria via LeMat-Bulk.

Unit cell a=8.0982 b=4.3164 c=8.2940 alpha=90.00 beta=106.03 gamma=90.00
Closest atoms and distances in Å follow each position.
Space group P2/m (No. 10)
One atom of each set of equivalent atoms:
1 La 0.2006 0.0000 0.1929  2 Ru 2.90
2 La 0.2221 0.5000 0.8001  1 Ru 2.76
3 Te 0.5000 0.0000 0.0000  6 La 3.23-3.25
4 Ru 0.0000 0.5000 0.0000  6 La 2.76-2.90
5 I 0.0000 0.0000 0.5000  6 La 3.38-3.41
6 I 0.5000 0.5000 0.5000  6 La 3.69-3.79

total DFT energy (no corrections): -0.400 Ry per atom

First-principles (PBE) data for La8TeRu3I4 after structural relaxation, as listed in Alexandria via LeMat-Bulk.

Unit cell a=8.7578 b=8.7578 c=24.3180 alpha=90.00 beta=90.00 gamma=120.00
Closest atoms and distances in Å follow each position.
Space group R-3m (No. 166, hexagonal axes)
One atom of each set of equivalent atoms:
1 La 0.0000 0.0000 0.2314  3 Ru 2.98
2 La 0.0332 0.5166 0.7711  2 Ru 2.85, 1 Te 3.17
3 Te 0.0000 0.0000 0.5000  6 La 3.17
4 Ru 0.0000 0.5000 0.5000  6 La 2.85-2.98
5 I 0.0000 0.0000 0.0000  6 La 3.41
6 I 0.0000 0.5000 0.0000  6 La 3.54-3.68

total DFT energy (no corrections): -0.418 Ry per atom

First-principles (PBE) data for La2ThRu2I2 after structural relaxation, as listed in Alexandria via LeMat-Bulk.

Unit cell a=5.1229 b=5.1229 c=17.2938 alpha=90.00 beta=90.00 gamma=90.00
Closest atoms and distances in Å follow each position.
Space group I4/mmm (No. 139)
One atom of each set of equivalent atoms:
1 La 0.0000 0.0000 0.1050  4 Ru 3.14, 1 I 3.49
2 Th 0.0000 0.0000 0.5000  4 Ru 2.56
3 Ru 0.0000 0.5000 0.0000  2 Th 2.56
4 I 0.0000 0.0000 0.3069  1 Th 3.34, 1 La 3.49

total DFT energy (no corrections): -0.450 Ry per atom

First-principles (PBE) data for LaTiRu2I after structural relaxation, as listed in Alexandria via LeMat-Bulk.

Unit cell a=4.7909 b=4.7909 c=5.9826 alpha=90.00 beta=90.00 gamma=90.00
Closest atoms and distances in Å follow each position.
Space group P4/mmm (No. 123)
One atom of each set of equivalent atoms:
1 La 0.0000 0.0000 0.0000  4 Ru 2.40
2 Ti 0.5000 0.5000 0.5000  4 I 3.39
3 Ru 0.0000 0.5000 0.0000  2 La 2.40
4 I 0.0000 0.0000 0.5000  2 La 2.99

total DFT energy (no corrections): -0.380 Ry per atom

First-principles (PBE) data for LaTi2RuI after structural relaxation, as listed in Alexandria via LeMat-Bulk.

Unit cell a=5.1239 b=5.1239 c=4.7189 alpha=90.00 beta=90.00 gamma=90.00
Closest atoms and distances in Å follow each position.
Space group P4/mmm (No. 123)
One atom of each set of equivalent atoms:
1 La 0.0000 0.0000 0.0000  2 Ru 2.36, 4 Ti 2.56
2 Ti 0.0000 0.5000 0.0000  2 La 2.56
3 Ru 0.0000 0.0000 0.5000  2 La 2.36
4 I 0.5000 0.5000 0.5000  8 Ti 3.48, 4 Ru 3.62

total DFT energy (no corrections): -0.357 Ry per atom

First-principles (PBE) data for La6TlRu2I3 after structural relaxation, as listed in Alexandria via LeMat-Bulk.

Unit cell a=7.5365 b=13.0563 c=8.6453 alpha=90.00 beta=107.02 gamma=90.00
Closest atoms and distances in Å follow each position.
Space group C2/m (No. 12)
One atom of each set of equivalent atoms:
1 La 0.1931 0.0000 0.1915  2 Ru 2.86
2 La 0.2502 0.1857 0.8070  2 Ru 2.86-2.87
3 Tl 0.0000 0.5000 0.0000  6 La 3.21-3.22
4 Ru 0.0000 0.1670 0.0000  6 La 2.86-2.87
5 I 0.0000 0.0000 0.5000  6 La 3.39-3.68
6 I 0.0000 0.3396 0.5000  6 La 3.42-3.69

total DFT energy (no corrections): -0.395 Ry per atom

First-principles (PBE) data for La2TlRuI after structural relaxation, as listed in Alexandria via LeMat-Bulk.

Unit cell a=5.8946 b=5.8946 c=5.7745 alpha=90.00 beta=90.00 gamma=90.00
Closest atoms and distances in Å follow each position.
Space group P4/mmm (No. 123)
One atom of each set of equivalent atoms:
1 La 0.0000 0.5000 0.0000  2 I 2.95
2 Tl 0.0000 0.0000 0.5000  2 I 2.89
3 Ru 0.5000 0.5000 0.5000  8 La 4.13, 4 Tl 4.17
4 I 0.0000 0.0000 0.0000  2 Tl 2.89, 4 La 2.95

total DFT energy (no corrections): -0.271 Ry per atom

First-principles (PBE) data for La2TlRuI after structural relaxation, as listed in Alexandria via LeMat-Bulk.

Unit cell a=5.4986 b=5.4986 c=5.3483 alpha=90.00 beta=90.00 gamma=90.00
Closest atoms and distances in Å follow each position.
Space group P4/mmm (No. 123)
One atom of each set of equivalent atoms:
1 La 0.0000 0.5000 0.0000  2 Ru 2.75
2 Tl 0.0000 0.0000 0.5000  2 Ru 2.67
3 Ru 0.0000 0.0000 0.0000  2 Tl 2.67, 4 La 2.75
4 I 0.5000 0.5000 0.5000  8 La 3.84, 4 Tl 3.89

total DFT energy (no corrections): -0.375 Ry per atom

What are the mass density values for these records? In order: 6.19; 6.32; 7.07; 6.24; 6.20; 6.62; 5.88; 7.29 g/cm³.